Density functional theory data (PBE-GGA) for a relaxed structure of Mg2GaHg4.

Unit cell a=6.007 b=6.007 c=6.007 alpha=107.83 beta=107.83 gamma=112.81
Atoms (fractional coordinates):
Mg1 0.000 0.500 0.500
Mg2 0.500 0.000 0.500
Ga1 0.000 0.000 0.000
Hg1 0.000 0.000 0.500
Hg2 0.000 0.500 0.000
Hg3 0.500 0.000 0.000
Hg4 0.500 0.500 0.500

Output
- DOS at the Fermi energy (states/eV per cell) = 1.143
- final energy (eV per atom) = -1.150
- energy of formation (eV per atom) = -0.09
- calculated density (g cm⁻³) = 9.2
- symmetry = No. 139